The following is a PBE calculation of an optimized crystal structure of ScMn, from Alexandria via LeMat-Bulk.

Summary:
- SG = P-6m2
- energy of formation from the pure elements (eV per atom) = 0.25

abc: 3.080 3.080 4.425
angles: 90.00 90.00 120.00
Sites, in units of the cell vectors:
Sc1 0.000 0.000 0.000
Mn1 0.667 0.333 0.500

The following is a PBE calculation of an optimized crystal structure of Hg2PdAu, from Alexandria via LeMat-Bulk.

Summary:
- SG = P4/mmm
- energy of formation from the pure elements (eV per atom) = -0.01

abc: 3.348 3.348 6.802
angles: 90.00 90.00 90.00
Sites, in units of the cell vectors:
Hg1 0.000 0.000 0.239
Hg2 0.000 0.000 0.761
Pd1 0.500 0.500 0.000
Au1 0.500 0.500 0.500

The following is a PBE calculation of an optimized crystal structure of HfTlH, from Alexandria via LeMat-Bulk.

Summary:
- SG = Pnma
- total energy (eV per atom) = -5.19

abc: 7.714 3.696 7.163
angles: 90.00 90.00 90.00
Sites, in units of the cell vectors:
Hf1 0.146 0.250 0.067
Hf2 0.354 0.750 0.567
Hf3 0.646 0.250 0.433
Hf4 0.854 0.750 0.933
Tl1 0.049 0.250 0.656
Tl2 0.451 0.750 0.156
Tl3 0.549 0.250 0.844
Tl4 0.951 0.750 0.344
H1 0.106 0.750 0.960
H2 0.394 0.250 0.460
H3 0.606 0.750 0.540
H4 0.894 0.250 0.040

The following is a PBE calculation of an optimized crystal structure of Er4Ga2SeS, from Alexandria via LeMat-Bulk.

Summary:
- uncorrected formation energy (eV/atom) = -1.195
- SG = P2/m

abc: 6.695 3.864 7.559
angles: 90.00 107.14 90.00
Sites, in units of the cell vectors:
Er1 0.239 0.000 0.236
Er2 0.248 0.500 0.759
Er3 0.752 0.500 0.241
Er4 0.761 0.000 0.764
Ga1 0.000 0.000 0.500
Ga2 0.500 0.500 0.500
Se1 0.500 0.000 0.000
S1 0.000 0.500 0.000

The following is a PBE calculation of an optimized crystal structure of TaVSnP2, from Alexandria via LeMat-Bulk.

Summary:
- SG = P4/mmm
- energy of formation from the pure elements (eV per atom) = 1.82

abc: 4.882 4.882 4.861
angles: 90.00 90.00 90.00
Sites, in units of the cell vectors:
Ta1 0.000 0.000 0.000
V1 0.500 0.500 0.000
Sn1 0.500 0.500 0.500
P1 0.000 0.500 0.500
P2 0.500 0.000 0.500

The following is a PBE calculation of an optimized crystal structure of CuCSCl2, from Alexandria via LeMat-Bulk.

Summary:
- uncorrected formation energy (eV/atom) = 1.122
- SG = P4/mmm

abc: 5.027 5.027 3.560
angles: 90.00 90.00 90.00
Sites, in units of the cell vectors:
Cu1 0.000 0.000 0.000
C1 0.500 0.500 0.500
S1 0.500 0.500 0.000
Cl1 0.000 0.500 0.500
Cl2 0.500 0.000 0.500

So what do the calculations give for volume? Going down the list: 18.2, 19.1, 17.0, 23.4, 23.2, 18.0 Å³ per atom.